1.
The following is a DFT calculation (PBE) of a geometry-optimized TbNdTmSc structure.

The structure belongs to space group F-43m (No. 216); the cell edges are 7.869, 7.869 and 7.869 Å and the angles 90.00°, 90.00° and 90.00°. The distinct sites, in fractional coordinates, are Tb at (0.000, 0.000, 0.000), Nd at (0.000, 0.000, 0.500), Tm at (0.250, 0.250, 0.250) and Sc at (0.250, 0.250, 0.750).

For the magnetic moment, the calculation gives 0.002 μB/cell.


2.
The following is a DFT calculation (PBE) of a geometry-optimized TbNdTmSc structure.

The structure belongs to space group R3m (No. 160, hexagonal axes); the cell edges are 3.5236, 3.5236 and 33.8530 Å and the angles 90.00°, 90.00° and 120.00°. The distinct sites, in fractional coordinates, are Tb at (0.0000, 0.0000, 0.0000), Nd at (0.0000, 0.0000, 0.8292), Tm at (0.0000, 0.0000, 0.5829) and Sc at (0.0000, 0.0000, 0.4131).

For the magnetic moment, the calculation gives 0.001 μB/cell.


Name the most stable of them. 2.


1.
The following is a DFT calculation (PBE) of a geometry-optimized Nd2ScTe structure.

The structure belongs to space group R-3m (No. 166, hexagonal axes); the cell edges are 3.9785, 3.9785 and 28.4676 Å and the angles 90.00°, 90.00° and 120.00°. The distinct sites, in fractional coordinates, are Nd at (0.0000, 0.0000, 0.2431), Sc at (0.0000, 0.0000, 0.0000) and Te at (0.0000, 0.0000, 0.5000).

For the magnetic moment, the calculation gives 1.388 μB/cell.


2.
The following is a DFT calculation (PBE) of a geometry-optimized Nd2ScTe structure.

The structure belongs to space group P4/mmm (No. 123); the cell edges are 4.052, 4.052 and 7.243 Å and the angles 90.00°, 90.00° and 90.00°. The distinct sites, in fractional coordinates, are Nd at (0.000, 0.000, 0.242), Sc at (0.500, 0.500, 0.500) and Te at (0.500, 0.500, 0.000).

For the magnetic moment, the calculation gives 0.001 μB/cell.


3.
The following is a DFT calculation (PBE) of a geometry-optimized Nd2ScTe structure.

The structure belongs to space group P-1 (No. 2); the cell edges are 3.884, 7.434 and 9.480 Å and the angles 96.10°, 101.71° and 90.02°. The distinct sites, in fractional coordinates, are Nd at (0.134, 0.034, 0.268), Nd at (0.359, 0.462, 0.721), Sc at (0.500, 0.207, 0.000) and Te at (0.251, 0.751, 0.501).

For the magnetic moment, the calculation gives 2.230 μB/cell.


Name the most stable of them. 2.


1.
The following is a DFT calculation (PBE) of a geometry-optimized Nd3ScTe4 structure.

The structure belongs to space group Cmmm (No. 65); the cell edges are 8.947, 12.521 and 4.374 Å and the angles 90.00°, 90.00° and 90.00°. The distinct sites, in fractional coordinates, are Nd at (0.000, 0.000, 0.000), Nd at (0.250, 0.250, 0.500), Sc at (0.000, 0.500, 0.000), Te at (0.000, 0.259, 0.000) and Te at (0.232, 0.500, 0.500).

For the magnetic moment, the calculation gives 0.000 μB/cell.


2.
The following is a DFT calculation (PBE) of a geometry-optimized Nd3ScTe4 structure.

The structure belongs to space group I4/mmm (No. 139); the cell edges are 6.277, 6.277 and 12.522 Å and the angles 90.00°, 90.00° and 90.00°. The distinct sites, in fractional coordinates, are Nd at (0.000, 0.000, 0.000), Nd at (0.000, 0.500, 0.250), Sc at (0.000, 0.000, 0.500), Te at (0.000, 0.000, 0.261) and Te at (0.000, 0.500, 0.000).

For the magnetic moment, the calculation gives 0.032 μB/cell.


Name the most stable of them. 1.


1.
The following is a DFT calculation (PBE) of a geometry-optimized NdSc2Te4 structure.

The structure belongs to space group Cmcm (No. 63); the cell edges are 4.211, 13.770 and 14.498 Å and the angles 90.00°, 90.00° and 90.00°. The distinct sites, in fractional coordinates, are Nd at (0.000, 0.124, 0.250), Sc at (0.000, 0.371, 0.065), Te at (0.000, 0.000, 0.000), Te at (0.000, 0.272, 0.615) and Te at (0.000, 0.451, 0.250).

For the magnetic moment, the calculation gives 0.000 μB/cell.


2.
The following is a DFT calculation (PBE) of a geometry-optimized NdSc2Te4 structure.

The structure belongs to space group Pnma (No. 62); the cell edges are 13.177, 4.167 and 15.146 Å and the angles 90.00°, 90.00° and 90.00°. The distinct sites, in fractional coordinates, are Nd at (0.243, 0.250, 0.177), Sc at (0.049, 0.250, 0.386), Sc at (0.093, 0.250, 0.912), Te at (0.040, 0.750, 0.787), Te at (0.102, 0.250, 0.573), Te at (0.125, 0.750, 0.045) and Te at (0.199, 0.750, 0.337).

For the magnetic moment, the calculation gives 0.000 μB/cell.


Name the most stable of them. 2.


1.
The following is a DFT calculation (PBE) of a geometry-optimized NdScTe2 structure.

The structure belongs to space group R3m (No. 160, hexagonal axes); the cell edges are 4.2174, 4.2174 and 22.4173 Å and the angles 90.00°, 90.00° and 120.00°. The distinct sites, in fractional coordinates, are Nd at (0.0000, 0.0000, 0.0000), Sc at (0.0000, 0.0000, 0.8266), Te at (0.0000, 0.0000, 0.2388) and Te at (0.0000, 0.0000, 0.4230).

For the magnetic moment, the calculation gives 0.000 μB/cell.


2.
The following is a DFT calculation (PBE) of a geometry-optimized NdScTe2 structure.

The structure belongs to space group P4/mmm (No. 123); the cell edges are 5.332, 5.332 and 3.789 Å and the angles 90.00°, 90.00° and 90.00°. The distinct sites, in fractional coordinates, are Nd at (0.000, 0.000, 0.000), Sc at (0.500, 0.500, 0.000) and Te at (0.000, 0.500, 0.500).

For the magnetic moment, the calculation gives 1.207 μB/cell.


3.
The following is a DFT calculation (PBE) of a geometry-optimized NdScTe2 structure.

The structure belongs to space group R-3m (No. 166, hexagonal axes); the cell edges are 4.2878, 4.2878 and 21.6693 Å and the angles 90.00°, 90.00° and 120.00°. The distinct sites, in fractional coordinates, are Nd at (0.0000, 0.0000, 0.0000), Sc at (0.0000, 0.0000, 0.5000) and Te at (0.0000, 0.0000, 0.2412).

For the magnetic moment, the calculation gives 0.000 μB/cell.


Name the most stable of them. 1.


1.
The following is a DFT calculation (PBE) of a geometry-optimized NdThSc structure.

The structure belongs to space group P4/nmm (No. 129, origin choice 2); the cell edges are 3.571, 3.571 and 14.396 Å and the angles 90.00°, 90.00° and 90.00°. The distinct sites, in fractional coordinates, are Nd at (0.250, 0.250, 0.101), Th at (0.250, 0.250, 0.727) and Sc at (0.250, 0.250, 0.426).

For the magnetic moment, the calculation gives 0.320 μB/cell.


2.
The following is a DFT calculation (PBE) of a geometry-optimized NdThSc structure.

The structure belongs to space group P3m1 (No. 156); the cell edges are 3.5346, 3.5346 and 8.4848 Å and the angles 90.00°, 90.00° and 120.00°. The distinct sites, in fractional coordinates, are Nd at (0.0000, 0.0000, 0.0000), Th at (0.3333, 0.6667, 0.6527) and Sc at (0.6667, 0.3333, 0.3399).

For the magnetic moment, the calculation gives 0.000 μB/cell.


3.
The following is a DFT calculation (PBE) of a geometry-optimized NdThSc structure.

The structure belongs to space group I4mm (No. 107); the cell edges are 3.554, 3.554 and 14.543 Å and the angles 90.00°, 90.00° and 90.00°. The distinct sites, in fractional coordinates, are Nd at (0.000, 0.000, 0.000), Th at (0.000, 0.000, 0.329) and Sc at (0.000, 0.000, 0.677).

For the magnetic moment, the calculation gives 0.000 μB/cell.


Name the most stable of them. 1.


1.
The following is a DFT calculation (PBE) of a geometry-optimized NdSc2Tl structure.

The structure belongs to space group Cmcm (No. 63); the cell edges are 4.756, 12.011 and 7.704 Å and the angles 90.00°, 90.00° and 90.00°. The distinct sites, in fractional coordinates, are Nd at (0.000, 0.059, 0.250), Sc at (0.000, 0.369, 0.044) and Tl at (0.000, 0.215, 0.750).

For the magnetic moment, the calculation gives 0.001 μB/cell.


2.
The following is a DFT calculation (PBE) of a geometry-optimized NdSc2Tl structure.

The structure belongs to space group P4/mmm (No. 123); the cell edges are 3.499, 3.499 and 8.650 Å and the angles 90.00°, 90.00° and 90.00°. The distinct sites, in fractional coordinates, are Nd at (0.000, 0.000, 0.000), Sc at (0.500, 0.500, 0.278) and Tl at (0.000, 0.000, 0.500).

For the magnetic moment, the calculation gives 0.002 μB/cell.


3.
The following is a DFT calculation (PBE) of a geometry-optimized NdSc2Tl structure.

The structure belongs to space group P2_1/m (No. 11); the cell edges are 4.572, 4.671 and 10.665 Å and the angles 90.00°, 102.28° and 90.00°. The distinct sites, in fractional coordinates, are Nd at (0.187, 0.250, 0.378), Sc at (0.052, 0.750, 0.106), Sc at (0.442, 0.750, 0.882) and Tl at (0.347, 0.250, 0.690).

For the magnetic moment, the calculation gives 0.000 μB/cell.


4.
The following is a DFT calculation (PBE) of a geometry-optimized NdSc2Tl structure.

The structure belongs to space group R3m (No. 160, hexagonal axes); the cell edges are 3.4430, 3.4430 and 31.7483 Å and the angles 90.00°, 90.00° and 120.00°. The distinct sites, in fractional coordinates, are Nd at (0.0000, 0.0000, 0.0000), Sc at (0.0000, 0.0000, 0.2441), Sc at (0.0000, 0.0000, 0.4228) and Tl at (0.0000, 0.0000, 0.8336).

For the magnetic moment, the calculation gives 0.000 μB/cell.


Name the most stable of them. 3.


1.
The following is a DFT calculation (PBE) of a geometry-optimized NdSc2Tl structure.

The structure belongs to space group Fm-3m (No. 225); the cell edges are 7.422, 7.422 and 7.422 Å and the angles 90.00°, 90.00° and 90.00°. The distinct sites, in fractional coordinates, are Nd at (0.000, 0.000, 0.000), Sc at (0.250, 0.250, 0.250) and Tl at (0.000, 0.000, 0.500).

For the magnetic moment, the calculation gives 10.515 μB/cell.


2.
The following is a DFT calculation (PBE) of a geometry-optimized NdSc2Tl structure.

The structure belongs to space group P4/mmm (No. 123); the cell edges are 4.734, 4.734 and 4.647 Å and the angles 90.00°, 90.00° and 90.00°. The distinct sites, in fractional coordinates, are Nd at (0.000, 0.000, 0.000), Sc at (0.000, 0.500, 0.500) and Tl at (0.500, 0.500, 0.000).

For the magnetic moment, the calculation gives 0.771 μB/cell.


Name the most stable of them. 2.


1.
The following is a DFT calculation (PBE) of a geometry-optimized NdSc3Tl2 structure.

The structure belongs to space group C2/m (No. 12); the cell edges are 17.679, 4.794 and 8.192 Å and the angles 90.00°, 112.18° and 90.00°. The distinct sites, in fractional coordinates, are Nd at (0.117, 0.000, 0.170), Sc at (0.074, 0.000, 0.706), Sc at (0.139, 0.500, 0.502), Sc at (0.192, 0.500, 0.929), Tl at (0.014, 0.500, 0.822) and Tl at (0.236, 0.000, 0.679).

For the magnetic moment, the calculation gives 0.000 μB/cell.


2.
The following is a DFT calculation (PBE) of a geometry-optimized NdSc3Tl2 structure.

The structure belongs to space group Pmc2_1 (No. 26); the cell edges are 4.910, 9.660 and 6.499 Å and the angles 90.00°, 90.00° and 90.00°. The distinct sites, in fractional coordinates, are Nd at (0.000, 0.042, 0.000), Sc at (0.000, 0.318, 0.607), Sc at (0.500, 0.205, 0.270), Sc at (0.500, 0.459, 0.893), Tl at (0.000, 0.375, 0.150) and Tl at (0.500, 0.148, 0.725).

For the magnetic moment, the calculation gives 0.001 μB/cell.


Name the most stable of them. 2.


1.
The following is a DFT calculation (PBE) of a geometry-optimized Nd3ScTl structure.

The structure belongs to space group P2_1/m (No. 11); the cell edges are 8.578, 3.585 and 10.089 Å and the angles 90.00°, 100.78° and 90.00°. The distinct sites, in fractional coordinates, are Nd at (0.022, 0.250, 0.169), Nd at (0.173, 0.750, 0.473), Nd at (0.331, 0.750, 0.041), Sc at (0.453, 0.250, 0.353) and Tl at (0.293, 0.250, 0.755).

For the magnetic moment, the calculation gives 0.000 μB/cell.


2.
The following is a DFT calculation (PBE) of a geometry-optimized Nd3ScTl structure.

The structure belongs to space group Cmcm (No. 63); the cell edges are 4.878, 25.338 and 4.866 Å and the angles 90.00°, 90.00° and 90.00°. The distinct sites, in fractional coordinates, are Nd at (0.000, 0.055, 0.250), Nd at (0.000, 0.251, 0.250), Nd at (0.000, 0.443, 0.250), Sc at (0.000, 0.348, 0.750) and Tl at (0.000, 0.154, 0.750).

For the magnetic moment, the calculation gives 0.000 μB/cell.


Name the most stable of them. 2.